Entry from the Alexandria database: a relaxed Ac6PrNd2Y3 crystal (PBE).

Cell: 6.6625 6.6625 12.3495 Å, 95.17 95.17 120.06°
Last column: nearest neighbours and their distance in Å.
Fractional coordinates of all 12 atoms:
Ac 0.0853 0.4188 0.7540  3 Y 3.72-3.73, 2 Nd 3.80, 1 Pr 3.80, 6 Ac 3.84-3.85
Ac 0.2482 0.2482 0.2459  3 Y 3.72, 1 Pr 3.80, 2 Nd 3.80, 6 Ac 3.84-3.85
Ac 0.4188 0.0853 0.7540  3 Y 3.72-3.73, 2 Nd 3.80, 1 Pr 3.80, 6 Ac 3.84-3.85
Ac 0.5812 0.9147 0.2460  3 Y 3.72-3.73, 2 Nd 3.80, 1 Pr 3.80, 6 Ac 3.84-3.85
Ac 0.7518 0.7518 0.7541  3 Y 3.72, 1 Pr 3.80, 2 Nd 3.80, 6 Ac 3.84-3.85
Ac 0.9147 0.5812 0.2460  3 Y 3.72-3.73, 2 Nd 3.80, 1 Pr 3.80, 6 Ac 3.84-3.85
Pr 0.0000 0.0000 0.5000  6 Ac 3.80, 6 Nd 3.84-3.85
Nd 0.3334 0.6666 0.5000  6 Ac 3.80, 3 Pr 3.84-3.85, 3 Nd 3.84-3.85
Nd 0.6666 0.3334 0.5000  6 Ac 3.80, 3 Pr 3.84-3.85, 3 Nd 3.84-3.85
Y 0.1668 0.8332 0.0000  6 Ac 3.72-3.73, 6 Y 3.84-3.85
Y 0.5000 0.5000 0.0000  6 Ac 3.72, 6 Y 3.84-3.85
Y 0.8332 0.1668 0.0000  6 Ac 3.72-3.73, 6 Y 3.84-3.85

Computed properties:
Space-group type: C2/m, No. 12
Crystal system: monoclinic



Entry from the Alexandria database: a relaxed Al2OsRu crystal (PBE).

Cell: 4.9198 4.9198 4.9198 Å, 144.79 122.46 69.28°
Last column: nearest neighbours and their distance in Å.
Fractional coordinates of all 4 atoms:
Al 0.2483 0.2483 0.0000  2 Ru 2.50, 2 Os 2.52, 4 Al 2.80
Al 0.7517 0.7517 0.0000  2 Ru 2.50, 2 Os 2.52, 4 Al 2.80
Os 0.5000 0.0000 0.5000  4 Al 2.52, 4 Ru 2.80
Ru 0.0000 0.5000 0.5000  4 Al 2.50, 4 Os 2.80

Computed properties:
Space-group type: Immm, No. 71
Crystal system: orthorhombic



no.,energy (eV per atom),DOS(E_F) (states/eV/f.u.)
1,-4.8345,13.67
2,-7.2367,2.71